{"formula": "KHOs3", "functional": "SCAN", "state": "single point on PBEsol structure", "crystal_system": "cubic", "space_group": "Pm-3m", "m_tot_mub_per_fu": 2.1, "e_tot_ev_per_atom": -43.78, "lattice_angstrom": [[4.062, 0.000, 0.000], [0.000, 4.062, 0.000], [0.000, 0.000, 4.062]], "species": ["K", "H", "Os", "Os", "Os"], "frac_coords": [[0.000, 0.000, 0.000], [0.500, 0.500, 0.500], [0.000, 0.500, 0.500], [0.500, 0.000, 0.500], [0.500, 0.500, 0.000]]}